No. 1
Here is a geometry-optimized TaZnH3 structure from Alexandria via LeMat-Bulk. Energies are from GGA-PBE.

Output
The total DFT energy (no corrections) is -3.9415 eV per atom. For the total magnetization, the calculation gives 0.00 μB/f.u. As for the crystal system: cubic. For the density of states at the Fermi level, the calculation gives 0.566 states/eV per atom.

a b c (Å): 3.4438 3.4438 3.4438
angles (deg): 90.00 90.00 90.00
Space group Pm-3m (No. 221)
Symmetry-distinct sites (fractional):
Ta 0.0000 0.0000 0.0000 (multiplicity 1)
Zn 0.5000 0.5000 0.5000 (multiplicity 1)
H 0.0000 0.5000 0.5000 (multiplicity 3)

No. 2
Here is a geometry-optimized ZrAgP2 structure from Alexandria via LeMat-Bulk. Energies are from GGA-PBE.

Output
As for the distance to the lowest polymorph of the same formula: 0.98 eV/f.u. The total DFT energy (no corrections) is -5.7708 eV per atom. For the total magnetization, the calculation gives 0.00 μB/f.u. As for the crystal system: cubic. For the density of states at the Fermi level, the calculation gives 0.541 states/eV per atom.

a b c (Å): 6.5153 6.5153 6.5153
angles (deg): 90.00 90.00 90.00
Space group Fm-3m (No. 225)
Symmetry-distinct sites (fractional):
Zr 0.0000 0.0000 0.0000 (multiplicity 4)
Ag 0.0000 0.0000 0.5000 (multiplicity 4)
P 0.2500 0.2500 0.2500 (multiplicity 8)

No. 3
Here is a geometry-optimized Na3Er3InTe8 structure from Alexandria via LeMat-Bulk. Energies are from GGA-PBE.

Output
The calculation puts the formation energy from raw total energies at -1.027 eV/atom. The total DFT energy (no corrections) is -4.0618 eV per atom. For the total magnetization, the calculation gives 0.00 μB/f.u. As for the crystal system: monoclinic. For the density of states at the Fermi level, the calculation gives 0.472 states/eV per atom.

a b c (Å): 14.9581 8.6100 9.2256
angles (deg): 90.00 122.80 90.00
Space group C2/m (No. 12)
Symmetry-distinct sites (fractional):
Na 0.0000 0.0000 0.0000 (multiplicity 2)
Na 0.2500 0.2500 0.0000 (multiplicity 4)
Er 0.0000 0.5000 0.5000 (multiplicity 2)
Er 0.2500 0.2500 0.5000 (multiplicity 4)
In 0.0000 0.0000 0.5000 (multiplicity 2)
Te 0.0072 0.2500 0.2715 (multiplicity 8)
Te 0.2429 0.0000 0.7285 (multiplicity 4)
Te 0.2434 0.5000 0.7305 (multiplicity 4)

No. 4
Here is a geometry-optimized CaSm6Y structure from Alexandria via LeMat-Bulk. Energies are from GGA-PBE.

Output
As for the distance to the lowest polymorph of the same formula: 0.00 eV/f.u. The total DFT energy (no corrections) is -4.5495 eV per atom. For the total magnetization, the calculation gives 0.00 μB/f.u. As for the crystal system: monoclinic. For the density of states at the Fermi level, the calculation gives 1.480 states/eV per atom.

a b c (Å): 11.4797 5.1625 10.3631
angles (deg): 90.00 116.92 90.00
Space group C2/m (No. 12)
Symmetry-distinct sites (fractional):
Ca 0.0000 0.0000 0.0000 (multiplicity 2)
Sm 0.0016 0.5000 0.7431 (multiplicity 4)
Sm 0.2463 0.0000 0.8701 (multiplicity 4)
Sm 0.2478 0.5000 0.6208 (multiplicity 4)
Y 0.0000 0.0000 0.5000 (multiplicity 2)

No. 5
Here is a geometry-optimized Ba6Li2HgIr structure from Alexandria via LeMat-Bulk. Energies are from GGA-PBE.

Output
The total DFT energy (no corrections) is -2.5905 eV per atom. For the total magnetization, the calculation gives 0.00 μB/f.u. As for the crystal system: monoclinic. For the density of states at the Fermi level, the calculation gives 0.751 states/eV per atom.

a b c (Å): 8.0590 9.4617 14.5232
angles (deg): 90.00 121.32 90.00
Space group P2_1/c (No. 14)
Symmetry-distinct sites (fractional):
Ba 0.1131 0.0307 0.2364 (multiplicity 4)
Ba 0.2021 0.7070 0.0536 (multiplicity 4)
Ba 0.3701 0.1631 0.0490 (multiplicity 4)
Li 0.3224 0.1041 0.7445 (multiplicity 4)
Hg 0.5000 0.0000 0.5000 (multiplicity 2)
Ir 0.0000 0.0000 0.0000 (multiplicity 2)

No. 6
Here is a geometry-optimized Mg4ZrAg structure from Alexandria via LeMat-Bulk. Energies are from GGA-PBE.

Output
As for the distance to the lowest polymorph of the same formula: 0.00 eV/f.u. The total DFT energy (no corrections) is -3.0333 eV per atom. For the total magnetization, the calculation gives 0.00 μB/f.u. As for the crystal system: tetragonal. For the density of states at the Fermi level, the calculation gives 0.778 states/eV per atom.

a b c (Å): 3.1868 3.1868 12.5182
angles (deg): 90.00 90.00 90.00
Space group P4/mmm (No. 123)
Symmetry-distinct sites (fractional):
Mg 0.0000 0.0000 0.1434 (multiplicity 2)
Mg 0.5000 0.5000 0.3236 (multiplicity 2)
Zr 0.0000 0.0000 0.5000 (multiplicity 1)
Ag 0.5000 0.5000 0.0000 (multiplicity 1)